1.
A relaxed Er2In8Ir crystal, computed with GGA-PBE.

- energy of formation (eV/atom) = -0.34
- V (Å³ per cell) = 262
- E_tot (eV per atom) = -3.969

The structure in POSCAR format:
```
Er2In8Ir
1.0
4.656 0.000 0.000
0.000 4.656 0.000
0.000 0.000 12.086
In Er Ir
8 2 1
direct
0.000 0.500 0.876 In
0.500 0.000 0.500 In
0.000 0.500 0.500 In
0.500 0.000 0.876 In
0.500 0.500 0.691 In
0.000 0.500 0.124 In
0.500 0.500 0.309 In
0.500 0.000 0.124 In
0.000 0.000 0.308 Er
0.000 0.000 0.692 Er
0.000 0.000 0.000 Ir
```

2.
A relaxed Er4In3Ir crystal, computed with GGA-PBE.

- energy of formation (eV/atom) = -0.57
- V (Å³ per cell) = 195
- E_tot (eV per atom) = -4.991

The structure in POSCAR format:
```
Er4In3Ir
1.0
3.505 0.000 0.000
0.000 3.505 0.000
0.000 0.000 15.878
Er In Ir
4 3 1
direct
0.000 0.000 0.899 Er
0.000 0.000 0.101 Er
0.000 0.000 0.632 Er
0.000 0.000 0.368 Er
0.500 0.500 0.761 In
0.500 0.500 0.239 In
0.500 0.500 0.500 In
0.500 0.500 0.000 Ir
```

3.
A relaxed Er6InIr2 crystal, computed with GGA-PBE.

- energy of formation (eV/atom) = -0.64
- V (Å³ per cell) = 459
- E_tot (eV per atom) = -5.951

The structure in POSCAR format:
```
Er6InIr2
1.0
-7.311 -4.128 -0.856
3.251 2.526 -7.367
5.996 -4.955 3.275
Er Ir In
12 4 2
direct
0.470 0.288 0.182 Er
0.795 0.239 0.034 Er
0.308 0.640 0.332 Er
0.308 0.976 0.668 Er
0.106 0.288 0.818 Er
0.894 0.712 0.182 Er
0.692 0.360 0.668 Er
0.205 0.761 0.966 Er
0.205 0.239 0.444 Er
0.795 0.761 0.556 Er
0.692 0.024 0.332 Er
0.530 0.712 0.818 Er
0.500 0.633 0.133 Ir
0.500 0.367 0.867 Ir
0.669 0.000 0.669 Ir
0.331 0.000 0.331 Ir
0.000 0.000 0.000 In
0.000 0.500 0.500 In
```

4.
A relaxed ErInIr crystal, computed with GGA-PBE.

- energy of formation (eV/atom) = -0.68
- V (Å³ per cell) = 384
- E_tot (eV per atom) = -6.072

The structure in POSCAR format:
```
ErInIr
1.0
-4.072 -0.156 -0.020
0.269 -7.203 1.482
-0.149 2.317 12.583
Ir Er In
6 6 6
direct
0.250 0.746 0.918 Ir
0.750 0.747 0.588 Ir
0.750 0.245 0.747 Ir
0.250 0.253 0.412 Ir
0.250 0.755 0.253 Ir
0.750 0.254 0.082 Ir
0.250 0.457 0.619 Er
0.250 0.346 0.919 Er
0.750 0.654 0.081 Er
0.250 0.947 0.716 Er
0.750 0.543 0.381 Er
0.750 0.053 0.284 Er
0.750 0.141 0.544 In
0.250 0.859 0.456 In
0.750 0.006 0.913 In
0.750 0.613 0.795 In
0.250 0.387 0.205 In
0.250 0.994 0.087 In
```

5.
A relaxed Er3In4Ir4 crystal, computed with GGA-PBE.

- energy of formation (eV/atom) = -0.51
- V (Å³ per cell) = 235
- E_tot (eV per atom) = -5.970

The structure in POSCAR format:
```
Er3In4Ir4
1.0
-0.389 0.629 -3.898
-6.924 -3.966 0.050
0.043 7.995 3.306
Ir Er In
4 3 4
direct
0.764 0.264 0.528 Ir
0.500 0.819 0.000 Ir
0.236 0.736 0.472 Ir
0.500 0.181 0.000 Ir
0.887 0.887 0.774 Er
0.113 0.113 0.226 Er
0.000 0.500 0.000 Er
0.668 0.863 0.336 In
0.332 0.137 0.664 In
0.332 0.528 0.664 In
0.668 0.472 0.336 In
```

6.
A relaxed ErInIr2 crystal, computed with GGA-PBE.

- energy of formation (eV/atom) = -0.57
- V (Å³ per cell) = 72
- E_tot (eV per atom) = -6.828

The structure in POSCAR format:
```
ErInIr2
1.0
-3.406 -1.187 0.551
-0.367 -0.960 -4.336
1.555 -4.103 0.777
Er Ir In
1 2 1
direct
0.500 0.500 0.500 Er
0.000 0.000 0.500 Ir
0.000 0.500 0.000 Ir
0.500 0.000 0.000 In
```

| no. | total magnetization (μB/f.u.) |
| --- | --- |
| 1 | 0.000 |
| 2 | 0.001 |
| 3 | 0.000 |
| 4 | 0.000 |
| 5 | 0.000 |
| 6 | 0.000 |